No. 1
{
  "formula": "Nd2ScGa3Ir4",
  "functional": "PBE-GGA",
  "state": "optimized geometry",
  "lattice": [[4.2373, 0.0000, 0.0000], [0.0000, 4.2373, 0.0000], [0.0000, 0.0000, 10.8737]],
  "species": ["Nd", "Nd", "Sc", "Ga", "Ga", "Ga", "Ir", "Ir", "Ir", "Ir"],
  "frac_coords": [[0.0000, 0.5000, 0.2293], [0.5000, 0.0000, 0.7707], [0.0000, 0.0000, 0.5000], [0.0000, 0.5000, 0.8782], [0.5000, 0.0000, 0.1218], [0.5000, 0.5000, 0.5000], [0.0000, 0.0000, 0.0000], [0.0000, 0.5000, 0.6465], [0.5000, 0.0000, 0.3535], [0.5000, 0.5000, 0.0000]],
  "formation_enthalpy_0k_ev_per_atom": -0.7495
}

No. 2
{
  "formula": "La2Tb2Er5",
  "functional": "PBE-GGA",
  "state": "optimized geometry",
  "lattice": [[-7.4678, 5.9352, 3.3645], [7.4678, -5.9352, 3.3645], [7.4678, 5.9352, -3.3645]],
  "species": ["La", "La", "La", "La", "Tb", "Tb", "Tb", "Tb", "Er", "Er", "Er", "Er", "Er", "Er", "Er", "Er", "Er", "Er"],
  "frac_coords": [[0.0017, 0.1280, 0.1297], [0.0017, 0.3720, 0.3737], [0.9983, 0.6280, 0.6263], [0.9983, 0.8720, 0.8703], [0.4462, 0.2060, 0.7402], [0.4658, 0.7060, 0.2598], [0.5415, 0.0415, 0.5000], [0.5415, 0.5415, 0.0000], [0.1146, 0.4140, 0.8058], [0.1146, 0.8088, 0.2006], [0.3955, 0.9026, 0.9929], [0.4441, 0.3199, 0.4100], [0.4441, 0.5340, 0.6242], [0.6082, 0.3088, 0.1942], [0.6082, 0.9140, 0.7994], [0.9098, 0.0340, 0.5900], [0.9097, 0.4026, 0.0071], [0.9098, 0.8199, 0.3758]],
  "formation_enthalpy_0k_ev_per_atom": 0.2074,
  "polymorph_energy_kj_per_mol_atoms": 0.00
}

No. 3
{
  "formula": "Ag3GeTe3",
  "functional": "PBE-GGA",
  "state": "optimized geometry",
  "lattice": [[7.1124, 0.0000, 0.0000], [0.0000, 5.6836, 0.0000], [-1.3118, 0.0000, 9.1841]],
  "species": ["Ag", "Ag", "Ag", "Ag", "Ag", "Ag", "Ge", "Ge", "Te", "Te", "Te", "Te", "Te", "Te"],
  "frac_coords": [[0.1320, 0.2500, 0.1704], [0.1529, 0.2500, 0.6204], [0.2954, 0.7500, 0.9377], [0.7046, 0.2500, 0.0623], [0.8471, 0.7500, 0.3796], [0.8680, 0.7500, 0.8296], [0.4818, 0.7500, 0.4795], [0.5182, 0.2500, 0.5205], [0.1547, 0.7500, 0.6324], [0.2092, 0.7500, 0.2447], [0.3208, 0.2500, 0.9251], [0.6792, 0.7500, 0.0749], [0.7908, 0.2500, 0.7553], [0.8453, 0.2500, 0.3676]],
  "polymorph_energy_kj_per_mol_atoms": 1.48,
  "e_form_raw_mev_per_atom": 72
}

No. 4
{
  "formula": "Pa2VIrN5",
  "functional": "PBE-GGA",
  "state": "optimized geometry",
  "lattice": [[1.6588, -6.3850, 0.0000], [1.6588, 6.3850, 0.0000], [0.0000, 0.0000, 10.1134]],
  "species": ["Pa", "Pa", "Pa", "Pa", "V", "V", "Ir", "Ir", "N", "N", "N", "N", "N", "N", "N", "N", "N", "N"],
  "frac_coords": [[0.1017, 0.8983, 0.5000], [0.1512, 0.8488, 0.1287], [0.8488, 0.1512, 0.6287], [0.8983, 0.1017, 0.0000], [0.2042, 0.7958, 0.8403], [0.7958, 0.2042, 0.3403], [0.4697, 0.5303, 0.2731], [0.5303, 0.4697, 0.7731], [0.0631, 0.9369, 0.8983], [0.2758, 0.7242, 0.4789], [0.3189, 0.6811, 0.1957], [0.3649, 0.6351, 0.8179], [0.4843, 0.5157, 0.5846], [0.5157, 0.4843, 0.0846], [0.6351, 0.3649, 0.3179], [0.6811, 0.3189, 0.6957], [0.7242, 0.2758, 0.9789], [0.9369, 0.0631, 0.3983]],
  "e_form_raw_mev_per_atom": -963
}

No. 5
{
  "formula": "CaTaRh3",
  "functional": "PBE-GGA",
  "state": "optimized geometry",
  "lattice": [[4.7799, 0.0000, 0.0000], [0.0000, 4.7799, 0.0000], [0.0000, 0.0000, 4.7799]],
  "species": ["Ca", "Ta", "Rh", "Rh", "Rh"],
  "frac_coords": [[0.0000, 0.0000, 0.0000], [0.5000, 0.5000, 0.5000], [0.0000, 0.5000, 0.5000], [0.5000, 0.0000, 0.5000], [0.5000, 0.5000, 0.0000]],
  "formation_enthalpy_0k_ev_per_atom": 0.1456,
  "polymorph_energy_kj_per_mol_atoms": 0.00
}

No. 6
{
  "formula": "Tb12Cu6Pd",
  "functional": "PBE-GGA",
  "state": "optimized geometry",
  "lattice": [[6.1920, 3.5750, 3.9606], [-6.1920, 3.5750, 3.9606], [0.0000, -7.1499, 3.9606]],
  "species": ["Tb", "Tb", "Tb", "Tb", "Tb", "Tb", "Tb", "Tb", "Tb", "Tb", "Tb", "Tb", "Cu", "Cu", "Cu", "Cu", "Cu", "Cu", "Pd"],
  "frac_coords": [[0.0447, 0.6737, 0.9096], [0.0904, 0.9553, 0.3263], [0.1888, 0.4139, 0.5646], [0.3263, 0.0904, 0.9553], [0.4139, 0.5646, 0.1888], [0.4354, 0.8112, 0.5861], [0.5646, 0.1888, 0.4139], [0.5861, 0.4354, 0.8112], [0.6737, 0.9096, 0.0447], [0.8112, 0.5861, 0.4354], [0.9096, 0.0447, 0.6737], [0.9553, 0.3263, 0.0904], [0.1295, 0.6235, 0.3128], [0.3128, 0.1295, 0.6235], [0.3765, 0.6872, 0.8705], [0.6235, 0.3128, 0.1295], [0.6872, 0.8705, 0.3765], [0.8705, 0.3765, 0.6872], [0.0000, 0.0000, 0.0000]],
  "formation_enthalpy_0k_ev_per_atom": -0.0190
}

No. 7
{
  "formula": "ZnS",
  "functional": "PBE-GGA",
  "state": "optimized geometry",
  "lattice": [[10.8161, 0.0000, 0.0000], [0.0000, 3.7780, 0.0000], [0.0000, 0.0000, 6.6277]],
  "species": ["Zn", "Zn", "Zn", "Zn", "Zn", "Zn", "S", "S", "S", "S", "S", "S"],
  "frac_coords": [[0.0000, 0.0415, 0.0000], [0.2128, 0.3383, 0.7804], [0.2872, 0.6617, 0.2804], [0.5000, 0.9585, 0.5000], [0.7128, 0.6617, 0.2804], [0.7872, 0.3383, 0.7804], [0.0000, 0.5504, 0.7762], [0.1992, 0.1589, 0.1314], [0.3008, 0.8411, 0.6314], [0.5000, 0.4496, 0.2762], [0.6992, 0.8411, 0.6314], [0.8008, 0.1589, 0.1314]],
  "e_form_raw_mev_per_atom": -617
}

No. 8
{
  "formula": "K2YP",
  "functional": "PBE-GGA",
  "state": "optimized geometry",
  "lattice": [[4.3911, 0.0000, 0.0000], [0.0000, 4.3911, 0.0000], [0.0000, 0.0000, 6.1499]],
  "species": ["K", "K", "Y", "P"],
  "frac_coords": [[0.0000, 0.5000, 0.0000], [0.5000, 0.0000, 0.0000], [0.0000, 0.0000, 0.5000], [0.5000, 0.5000, 0.5000]],
  "formation_enthalpy_0k_ev_per_atom": -0.0384
}

No. 9
{
  "formula": "Ce2SmMgIn4",
  "functional": "PBE-GGA",
  "state": "optimized geometry",
  "lattice": [[2.6538, 1.5322, 8.9650], [-2.6538, 1.5322, 8.9650], [0.0000, -3.0643, 8.9650]],
  "species": ["Ce", "Ce", "Sm", "Mg", "In", "In", "In", "In"],
  "frac_coords": [[0.2429, 0.2429, 0.2429], [0.7571, 0.7571, 0.7571], [0.0000, 0.0000, 0.0000], [0.5000, 0.5000, 0.5000], [0.1241, 0.1241, 0.1241], [0.3757, 0.3757, 0.3757], [0.6243, 0.6243, 0.6243], [0.8759, 0.8759, 0.8759]],
  "formation_enthalpy_0k_ev_per_atom": -0.3480
}

No. 10
{
  "formula": "SrAl2",
  "functional": "PBE-GGA",
  "state": "optimized geometry",
  "lattice": [[7.3046, 0.0000, 0.0000], [0.0000, 7.3046, 0.0000], [0.0000, 0.0000, 7.3046]],
  "species": ["Sr", "Sr", "Sr", "Sr", "Al", "Al", "Al", "Al", "Al", "Al", "Al", "Al"],
  "frac_coords": [[0.0000, 0.0000, 0.0000], [0.0000, 0.5000, 0.5000], [0.5000, 0.0000, 0.5000], [0.5000, 0.5000, 0.0000], [0.2500, 0.2500, 0.2500], [0.2500, 0.2500, 0.7500], [0.2500, 0.7500, 0.2500], [0.2500, 0.7500, 0.7500], [0.7500, 0.2500, 0.2500], [0.7500, 0.2500, 0.7500], [0.7500, 0.7500, 0.2500], [0.7500, 0.7500, 0.7500]],
  "formation_enthalpy_0k_ev_per_atom": 0.6005
}

No. 11
{
  "formula": "YIrRu2",
  "functional": "PBE-GGA",
  "state": "optimized geometry",
  "lattice": [[4.0421, 0.0000, 0.0000], [0.0000, 4.0421, 0.0000], [0.0000, 0.0000, 18.9967]],
  "species": ["Y", "Y", "Y", "Y", "Ir", "Ir", "Ir", "Ir", "Ru", "Ru", "Ru", "Ru", "Ru", "Ru", "Ru", "Ru"],
  "frac_coords": [[0.0000, 0.0000, 0.0000], [0.0000, 0.5000, 0.2500], [0.5000, 0.0000, 0.7500], [0.5000, 0.5000, 0.5000], [0.0000, 0.0000, 0.5000], [0.0000, 0.5000, 0.7500], [0.5000, 0.0000, 0.2500], [0.5000, 0.5000, 0.0000], [0.1623, 0.2500, 0.6250], [0.2500, 0.6623, 0.8750], [0.2500, 0.8377, 0.3750], [0.3377, 0.2500, 0.1250], [0.6623, 0.7500, 0.1250], [0.7500, 0.1623, 0.3750], [0.7500, 0.3377, 0.8750], [0.8377, 0.7500, 0.6250]],
  "formation_enthalpy_0k_ev_per_atom": 0.2861,
  "polymorph_energy_kj_per_mol_atoms": 28.79
}

No. 12
{
  "formula": "Li7In2Ag",
  "functional": "PBE-GGA",
  "state": "optimized geometry",
  "lattice": [[3.9531, -9.5543, 0.0000], [3.9531, 9.5543, 0.0000], [0.0000, 0.0000, 2.9457]],
  "species": ["Li", "Li", "Li", "Li", "Li", "Li", "Li", "In", "In", "Ag"],
  "frac_coords": [[0.0000, 0.0000, 0.0000], [0.2235, 0.4004, 0.0000], [0.2883, 0.7117, 0.5000], [0.4004, 0.2235, 0.0000], [0.5996, 0.7765, 0.0000], [0.7117, 0.2883, 0.5000], [0.7765, 0.5996, 0.0000], [0.1570, 0.8430, 0.0000], [0.8430, 0.1570, 0.0000], [0.5000, 0.5000, 0.5000]],
  "formation_enthalpy_0k_ev_per_atom": -0.0232,
  "polymorph_energy_kj_per_mol_atoms": 10.97
}

No. 13
{
  "formula": "SmDy2Zn2",
  "functional": "PBE-GGA",
  "state": "optimized geometry",
  "lattice": [[2.6368, -7.6712, 0.0000], [2.6368, 7.6712, 0.0000], [0.0000, 0.0000, 6.2158]],
  "species": ["Sm", "Sm", "Dy", "Dy", "Dy", "Dy", "Zn", "Zn", "Zn", "Zn"],
  "frac_coords": [[0.0837, 0.9163, 0.5000], [0.9163, 0.0837, 0.0000], [0.2984, 0.7016, 0.7438], [0.4579, 0.5421, 0.3491], [0.5421, 0.4579, 0.8491], [0.7016, 0.2984, 0.2438], [0.1249, 0.8751, 0.0082], [0.2785, 0.7215, 0.2356], [0.7215, 0.2785, 0.7356], [0.8751, 0.1249, 0.5082]],
  "formation_enthalpy_0k_ev_per_atom": -0.1956,
  "polymorph_energy_kj_per_mol_atoms": 6.24
}

No. 14
{
  "formula": "Cs3Rb8Pd",
  "functional": "PBE-GGA",
  "state": "optimized geometry",
  "lattice": [[15.2336, 0.0000, 0.0000], [-7.6168, 13.1927, 0.0000], [0.0000, 0.0000, 10.0895]],
  "species": ["Cs", "Cs", "Cs", "Cs", "Cs", "Cs", "Rb", "Rb", "Rb", "Rb", "Rb", "Rb", "Rb", "Rb", "Rb", "Rb", "Rb", "Rb", "Rb", "Rb", "Rb", "Rb", "Pd", "Pd"],
  "frac_coords": [[0.1541, 0.3082, 0.0000], [0.1541, 0.8459, 0.0000], [0.3082, 0.1541, 0.5000], [0.6918, 0.8459, 0.0000], [0.8459, 0.1541, 0.5000], [0.8459, 0.6918, 0.5000], [0.0000, 0.0000, 0.2503], [0.0000, 0.0000, 0.7503], [0.0628, 0.5314, 0.2334], [0.2296, 0.4591, 0.5201], [0.2296, 0.7704, 0.5201], [0.3333, 0.6667, 0.9486], [0.4591, 0.2296, 0.0201], [0.4686, 0.5314, 0.2334], [0.4686, 0.9372, 0.2334], [0.5314, 0.0628, 0.7334], [0.5314, 0.4686, 0.7334], [0.5409, 0.7704, 0.5201], [0.6667, 0.3333, 0.4486], [0.7704, 0.2296, 0.0201], [0.7704, 0.5409, 0.0201], [0.9372, 0.4686, 0.7334], [0.3333, 0.6667, 0.2916], [0.6667, 0.3333, 0.7916]],
  "formation_enthalpy_0k_ev_per_atom": 0.0498
}

No. 15
{
  "formula": "Pm2Pr5Tm",
  "functional": "PBE-GGA",
  "state": "optimized geometry",
  "lattice": [[3.3061, -9.1558, 0.0000], [3.3061, 9.1558, 0.0000], [-3.3020, 0.0000, 9.2628]],
  "species": ["Pm", "Pm", "Pm", "Pm", "Pr", "Pr", "Pr", "Pr", "Pr", "Pr", "Pr", "Pr", "Pr", "Pr", "Tm", "Tm"],
  "frac_coords": [[0.0000, 0.0000, 0.0000], [0.0000, 0.0000, 0.5000], [0.0000, 0.5000, 0.0000], [0.5000, 0.0000, 0.5000], [0.0415, 0.4142, 0.6316], [0.1464, 0.8536, 0.7500], [0.2823, 0.4096, 0.8708], [0.4096, 0.2823, 0.3708], [0.4142, 0.0415, 0.1316], [0.5858, 0.9585, 0.8684], [0.5904, 0.7177, 0.6292], [0.7177, 0.5904, 0.1292], [0.8536, 0.1464, 0.2500], [0.9585, 0.5858, 0.3684], [0.3966, 0.6034, 0.2500], [0.6034, 0.3966, 0.7500]],
  "formation_enthalpy_0k_ev_per_atom": 0.2157,
  "polymorph_energy_kj_per_mol_atoms": 19.32
}

No. 16
{
  "formula": "TaRh2W",
  "functional": "PBE-GGA",
  "state": "optimized geometry",
  "lattice": [[2.8143, 0.0000, 0.0000], [0.0000, 3.9134, 0.0000], [0.0000, 0.0000, 5.6077]],
  "species": ["Ta", "Rh", "Rh", "W"],
  "frac_coords": [[0.0000, 0.0000, 0.0000], [0.5000, 0.5000, 0.2551], [0.5000, 0.5000, 0.7449], [0.0000, 0.0000, 0.5000]],
  "formation_enthalpy_0k_ev_per_atom": -0.3227,
  "polymorph_energy_kj_per_mol_atoms": 0.27
}

No. 17
{
  "formula": "MgAgPb2",
  "functional": "PBE-GGA",
  "state": "optimized geometry",
  "lattice": [[3.5320, 0.0000, 0.0000], [0.0000, 4.2171, 0.0000], [0.0000, 0.0000, 6.7829]],
  "species": ["Mg", "Ag", "Pb", "Pb"],
  "frac_coords": [[0.0000, 0.0000, 0.0000], [0.0000, 0.0000, 0.5000], [0.5000, 0.5000, 0.2568], [0.5000, 0.5000, 0.7432]],
  "formation_enthalpy_0k_ev_per_atom": 0.0361
}

No. 18
{
  "formula": "Cs2RbHgAs",
  "functional": "PBE-GGA",
  "state": "optimized geometry",
  "lattice": [[7.3854, 0.0000, 0.0000], [0.0000, 7.3854, 0.0000], [0.0000, 0.0000, 5.4676]],
  "species": ["Cs", "Cs", "Rb", "Hg", "As"],
  "frac_coords": [[0.0000, 0.5000, 0.0000], [0.5000, 0.0000, 0.0000], [0.0000, 0.0000, 0.5000], [0.5000, 0.5000, 0.5000], [0.5000, 0.5000, 0.0000]],
  "formation_enthalpy_0k_ev_per_atom": -0.1178,
  "polymorph_energy_kj_per_mol_atoms": 2.38
}

No. 19
{
  "formula": "Rb5PuTe4",
  "functional": "PBE-GGA",
  "state": "optimized geometry",
  "lattice": [[10.9636, -2.5867, 0.0000], [10.9636, 2.5867, 0.0000], [-3.9301, 0.0000, 8.4378]],
  "species": ["Rb", "Rb", "Rb", "Rb", "Rb", "Pu", "Te", "Te", "Te", "Te"],
  "frac_coords": [[0.0000, 0.0000, 0.0000], [0.3262, 0.3262, 0.5788], [0.3267, 0.3267, 0.0713], [0.6733, 0.6733, 0.9287], [0.6738, 0.6738, 0.4212], [0.0000, 0.0000, 0.5000], [0.1693, 0.1693, 0.6705], [0.5003, 0.5003, 0.2822], [0.4997, 0.4997, 0.7178], [0.8308, 0.8308, 0.3295]],
  "e_form_raw_mev_per_atom": -907
}

No. 20
{
  "formula": "La2Nd4Er",
  "functional": "PBE-GGA",
  "state": "optimized geometry",
  "lattice": [[7.2059, 0.0000, 0.0000], [-1.7999, 8.6328, 0.0000], [-1.8106, -4.2237, 7.9138]],
  "species": ["La", "La", "La", "La", "Nd", "Nd", "Nd", "Nd", "Nd", "Nd", "Nd", "Nd", "Er", "Er"],
  "frac_coords": [[0.0000, 0.0000, 0.0000], [0.1148, 0.5835, 0.8595], [0.4719, 0.1671, 0.7223], [0.6892, 0.3102, 0.4369], [0.0850, 0.7521, 0.5771], [0.2951, 0.8798, 0.2933], [0.3949, 0.4387, 0.1402], [0.5056, 0.9949, 0.0023], [0.5833, 0.7498, 0.5781], [0.6140, 0.5880, 0.8633], [0.8994, 0.4434, 0.1417], [0.9694, 0.1611, 0.7138], [0.1907, 0.3172, 0.4479], [0.7948, 0.8743, 0.2915]],
  "formation_enthalpy_0k_ev_per_atom": 0.0512,
  "polymorph_energy_kj_per_mol_atoms": 0.00
}

no.,magnetization (μB/f.u.)
1,0.00
2,0.00
3,0.00
4,0.91
5,0.00
6,0.00
7,0.00
8,0.00
9,1.81
10,0.00
11,1.07
12,0.00
13,0.00
14,0.00
15,0.00
16,0.00
17,0.00
18,0.00
19,5.00
20,0.00